# CaAl10Rh2

A relaxed CaAl10Rh2 crystal (PBE, Alexandria via LeMat-Bulk).

Unit cell a=6.8810 b=6.8810 c=9.1398 alpha=90.00 beta=90.00 gamma=97.09
Last column: nearest neighbours and their distance in Å.
Sites, in units of the cell vectors:
Ca  0.1257  0.8743  0.7500  14 Al 3.17-3.32, 4 Rh 3.47
Ca  0.8743  0.1257  0.2500  14 Al 3.17-3.32, 4 Rh 3.47
Al  0.1408  0.4102  0.7500  2 Rh 2.59, 8 Al 2.72-2.86
Al  0.1576  0.8424  0.1012  2 Rh 2.64, 8 Al 2.68-2.93
Al  0.1576  0.8424  0.3988  2 Rh 2.64, 8 Al 2.68-2.93
Al  0.2232  0.2232  0.0000  2 Rh 2.59, 8 Al 2.72-2.88
Al  0.2232  0.2232  0.5000  2 Rh 2.59, 8 Al 2.72-2.88
Al  0.2257  0.4790  0.2500  7 Al 2.69-2.93, 2 Rh 2.78
Al  0.3789  0.6211  0.5533  6 Al 2.68-2.86, 2 Rh 2.68
Al  0.3789  0.6211  0.9467  6 Al 2.68-2.86, 2 Rh 2.68
Al  0.4102  0.1408  0.2500  2 Rh 2.59, 8 Al 2.72-2.86
Al  0.4790  0.2257  0.7500  7 Al 2.69-2.93, 2 Rh 2.78
Al  0.5210  0.7743  0.2500  7 Al 2.69-2.93, 2 Rh 2.78
Al  0.5898  0.8592  0.7500  2 Rh 2.59, 8 Al 2.72-2.86
Al  0.6211  0.3789  0.0533  6 Al 2.68-2.86, 2 Rh 2.68
Al  0.6211  0.3789  0.4467  6 Al 2.68-2.86, 2 Rh 2.68
Al  0.7743  0.5210  0.7500  7 Al 2.69-2.93, 2 Rh 2.78
Al  0.7768  0.7768  0.0000  2 Rh 2.59, 8 Al 2.72-2.88
Al  0.7768  0.7768  0.5000  2 Rh 2.59, 8 Al 2.72-2.88
Al  0.8424  0.1576  0.6012  2 Rh 2.64, 8 Al 2.68-2.93
Al  0.8424  0.1576  0.8988  2 Rh 2.64, 8 Al 2.68-2.93
Al  0.8592  0.5898  0.2500  2 Rh 2.59, 8 Al 2.72-2.86
Rh  0.0000  0.5000  0.0000  10 Al 2.59-2.78
Rh  0.0000  0.5000  0.5000  10 Al 2.59-2.78
Rh  0.5000  0.0000  0.0000  10 Al 2.59-2.78
Rh  0.5000  0.0000  0.5000  10 Al 2.59-2.78

The calculation puts the energy relative to the elements at -0.523 eV per atom. As for the total magnetization: 0.000 μB per atom.